VASP calculation (GGA+U) on Sr2CaPr2Fe2Ru2O12 after structural relaxation.

Geometry as extended XYZ:
```
21
Lattice="-5.7491 1.1248 0.9967 -1.1193 -5.0280 3.6229 1.6063 4.0336 6.4225" Properties=species:S:1:pos:R:3 pbc="T T T"
O 0.1773 3.0752 7.1152
O -5.6963 -2.9176 4.0683
O -4.8776 1.3986 7.6096
O -0.8490 0.9791 8.6906
O -2.2625 -0.8304 6.6729
O -2.2471 3.4712 5.6485
O -3.1085 -3.3930 5.5260
O -3.4641 1.1454 4.5176
O -4.5616 -0.6349 2.2874
O -0.4637 1.5893 4.0889
O -0.5373 -1.1570 3.4166
O -5.0082 -1.4116 6.8374
Ru -3.3391 -2.4308 7.3103
Ru -0.6052 -2.4639 1.8866
Ca -3.0091 0.5207 8.5550
Fe -3.1072 0.2079 1.0673
Fe -4.9482 0.3648 5.8483
Sr -2.9389 -1.3304 4.1277
Sr -0.0880 -1.6040 8.2656
Pr -1.3204 1.2865 6.1637
Pr 0.2931 0.6409 1.9066
```

Summary:
As for the volume: 287.85 Å³/cell. Its space-group type is No. 1. The total energy comes out at -7.007 eV per atom. Its size of the total moment is 12.006 μB/cell.